Below is KOs2Cl after structural relaxation, with properties calculated at the GGA-PBE level.

Values from the calculation:
* D(E_F): 6.08 states/eV per cell
* ΔE_f (raw): 1190 meV per atom
* theoretical density: 8.20 g/cm3
* calculated volume: 23.04 Å³ per atom

Cell lengths 7.475, 7.475, 2.549 Å; angles 90.00, 90.00, 139.68 degrees
Fractional coordinates of all 4 atoms:
K1 0.000 0.000 0.000
Os1 0.000 0.500 0.500
Os2 0.500 0.000 0.500
Cl1 0.500 0.500 0.000